Entry 1:
The following is a DFT calculation (PBE-GGA) of an optimized crystal structure of ScTi12Sb6.

Geometry as POSCAR:
```
ScTi12Sb6
1.0
7.719 -0.066 -0.093
-1.977 7.462 -0.093
-1.977 -2.547 7.014
Ti Sb Sc
12 6 1
Cartesian
-0.310 1.980 2.789
4.075 2.869 4.040
1.769 4.659 4.040
1.996 0.190 2.789
1.769 2.279 5.730
1.882 -1.484 6.190
5.668 -0.515 3.414
5.668 3.393 0.639
1.996 2.570 1.099
-1.904 5.364 3.414
-1.904 1.456 6.190
1.882 6.333 0.639
0.080 0.103 5.093
3.685 4.746 1.736
3.685 0.075 5.053
-0.841 3.588 5.053
4.606 1.261 1.775
0.080 4.774 1.775
0.000 0.000 0.000
```

Results
- E_form (uncorrected): -0.141 eV/atom
- Density: 5.613 g/cm³

=====

Entry 2:
The following is a DFT calculation (PBE-GGA) of an optimized crystal structure of Sc2Ti2Sb.

Geometry as POSCAR:
```
Sc2Ti2Sb
1.0
7.159 0.000 0.000
0.000 7.159 0.000
0.000 0.000 4.118
Ti Sb Sc
4 2 4
Cartesian
6.198 4.541 0.000
0.961 2.618 0.000
2.618 6.198 0.000
4.541 0.961 0.000
3.579 3.579 0.000
0.000 0.000 0.000
2.436 1.144 2.059
6.015 2.436 2.059
4.723 6.015 2.059
1.144 4.723 2.059
```

Results
- E_form (uncorrected): -0.216 eV/atom
- Density: 4.837 g/cm³

=====

Entry 3:
The following is a DFT calculation (PBE-GGA) of an optimized crystal structure of ScTi3Sb3.

Geometry as POSCAR:
```
ScTi3Sb3
1.0
-6.413 3.255 1.603
-5.818 -4.081 1.945
-2.077 0.213 8.188
Ti Sb Sc
6 6 2
Cartesian
-7.231 -2.763 5.216
-4.856 -1.363 6.132
-5.445 0.931 4.448
-9.452 0.750 5.604
-7.077 2.150 6.521
-8.863 -1.544 7.288
-5.564 -1.635 3.349
-4.551 1.155 7.181
-9.757 -1.768 4.555
-6.467 -2.681 7.996
-8.743 1.023 8.387
-7.841 2.068 3.741
-8.150 -0.550 2.379
-6.158 -0.063 9.358
```

Results
- E_form (uncorrected): -0.306 eV/atom
- Density: 5.359 g/cm³

=====

Entry 4:
The following is a DFT calculation (PBE-GGA) of an optimized crystal structure of ScTi2Sb2.

Geometry as POSCAR:
```
ScTi2Sb2
1.0
4.039 0.000 0.000
0.000 4.039 0.000
2.020 2.020 6.640
Sb Sc Ti
2 1 2
Cartesian
4.039 4.039 5.196
2.020 2.020 1.444
0.000 0.000 0.000
2.020 4.039 3.320
4.039 2.020 3.320
```

Results
- E_form (uncorrected): -0.400 eV/atom
- Energy relative to the lowest polymorph listed for this composition: 0.598 eV per formula unit
- Density: 5.888 g/cm³

=====

Entry 5:
The following is a DFT calculation (PBE-GGA) of an optimized crystal structure of ScTi3Sb.

Geometry as POSCAR:
```
ScTi3Sb
1.0
4.727 0.000 0.000
0.000 4.727 0.000
0.000 0.000 4.727
Ti Sb Sc
3 1 1
Cartesian
0.000 2.364 0.000
2.364 0.000 0.000
0.000 0.000 2.364
2.364 2.364 2.364
0.000 0.000 0.000
```

Results
- E_form (uncorrected): 0.969 eV/atom
- Energy relative to the lowest polymorph listed for this composition: 1.584 eV per formula unit
- Density: 4.877 g/cm³

=====

Entry 6:
The following is a DFT calculation (PBE-GGA) of an optimized crystal structure of ScTiSb.

Geometry as POSCAR:
```
ScTiSb
1.0
-2.962 -0.188 2.594
-0.163 -8.478 -0.800
7.256 0.080 5.296
Sc Sb Ti
4 4 4
Cartesian
2.970 -5.613 5.979
1.161 -2.973 1.110
5.368 -1.437 6.025
-1.237 -7.149 1.064
4.037 -7.576 4.061
4.123 -3.395 4.461
0.008 -5.191 2.628
0.093 -1.010 3.028
2.808 -5.322 2.820
2.929 -1.088 3.265
1.323 -3.264 4.269
1.202 -7.498 3.824
```

Results
- E_form (uncorrected): -0.284 eV/atom
- Density: 4.861 g/cm³

=====

Entry 7:
The following is a DFT calculation (PBE-GGA) of an optimized crystal structure of ScTi5Sb6.

Geometry as POSCAR:
```
ScTi5Sb6
1.0
-6.287 2.327 1.836
-3.996 -5.339 1.741
-0.164 -2.192 6.543
Ti Sb Sc
5 6 1
Cartesian
-5.141 -1.506 1.789
-6.566 -4.026 4.431
-1.372 -2.506 2.806
-3.880 -1.178 5.689
-2.788 -5.024 5.478
-2.590 -0.829 0.907
-5.385 -5.712 6.371
-7.693 -2.183 2.670
-5.062 0.509 3.749
-6.480 -2.010 6.413
-3.967 -3.194 3.707
0.000 0.000 0.000
```

Results
- E_form (uncorrected): -0.403 eV/atom
- Density: 6.236 g/cm³

=====

Entry 8:
The following is a DFT calculation (PBE-GGA) of an optimized crystal structure of ScTiSb2.

Geometry as POSCAR:
```
ScTiSb2
1.0
4.017 0.000 0.000
2.008 3.479 0.000
2.008 1.160 6.828
Ti Sb Sc
1 2 1
Cartesian
6.025 3.479 6.762
2.008 1.160 5.258
2.008 1.160 1.581
4.017 2.319 3.469
```

Results
- E_form (uncorrected): -0.574 eV/atom
- Energy relative to the lowest polymorph listed for this composition: 0.186 eV per formula unit
- Density: 5.853 g/cm³

=====

Entry 9:
The following is a DFT calculation (PBE-GGA) of an optimized crystal structure of ScTi2Sb2.

Geometry as POSCAR:
```
ScTi2Sb2
1.0
-4.551 5.561 0.512
-4.170 -4.908 -3.227
1.534 -1.683 4.869
Sb Sc Ti
4 2 4
Cartesian
-4.097 3.180 1.029
-3.261 0.468 2.795
-3.926 -1.499 -0.642
-3.091 -4.210 1.125
-3.368 3.397 3.841
-3.820 -4.428 -1.688
-4.416 -2.053 2.450
-1.939 -1.621 1.494
-5.249 0.591 0.659
-2.772 1.022 -0.297
```

Results
- E_form (uncorrected): -0.334 eV/atom
- Energy relative to the lowest polymorph listed for this composition: 0.925 eV per formula unit
- Density: 5.638 g/cm³

=====

Entry 10:
The following is a DFT calculation (PBE-GGA) of an optimized crystal structure of Sc2TiSb2.

Geometry as POSCAR:
```
Sc2TiSb2
1.0
7.438 0.000 0.000
0.000 7.438 0.000
0.000 0.000 4.034
Sb Sc Ti
4 4 2
Cartesian
2.609 6.328 0.000
6.328 4.830 0.000
4.830 1.111 0.000
1.111 2.609 0.000
1.170 4.890 2.017
4.890 6.268 2.017
2.549 1.170 2.017
6.268 2.549 2.017
3.719 3.719 0.000
0.000 0.000 0.000
```

Results
- E_form (uncorrected): -0.652 eV/atom
- Density: 5.673 g/cm³

=====

Entry 11:
The following is a DFT calculation (PBE-GGA) of an optimized crystal structure of Sc4Ti2Sb.

Geometry as POSCAR:
```
Sc4Ti2Sb
1.0
5.456 0.000 0.000
0.000 5.456 0.000
2.728 2.728 6.623
Sb Sc Ti
1 4 2
Cartesian
0.000 0.000 0.000
5.456 5.456 2.801
2.728 2.728 3.822
0.000 2.728 0.000
2.728 0.000 0.000
5.456 5.456 5.535
2.728 2.728 1.088
```

Results
- E_form (uncorrected): 0.558 eV/atom
- Density: 3.346 g/cm³

=====

Entry 12:
The following is a DFT calculation (PBE-GGA) of an optimized crystal structure of ScTiSb.

Geometry as POSCAR:
```
ScTiSb
1.0
4.073 0.000 0.000
0.000 4.073 0.000
0.000 0.000 7.613
Sc Sb Ti
2 2 2
Cartesian
0.000 2.037 6.432
2.037 0.000 1.181
2.037 0.000 5.826
0.000 2.037 1.787
0.000 0.000 3.806
2.037 2.037 3.806
```

Results
- E_form (uncorrected): -0.712 eV/atom
- Density: 5.643 g/cm³